# 1
The following is a DFT calculation (GGA-PBE) of a relaxed Pm2GeH crystal.

Computed properties:
mass density = 6.62 g/cm³
electronic total energy = -4.90 eV/atom

a = 4.1995 Å, b = 4.1995 Å, c = 17.9201 Å
α = 90.00°, β = 90.00°, γ = 120.00°
Fractional positions:
Pm (0.0000, 0.0000, 0.2439)
Pm (0.0000, 0.0000, 0.7561)
Pm (0.3333, 0.6667, 0.4227)
Pm (0.3333, 0.6667, 0.9106)
Pm (0.6667, 0.3333, 0.0894)
Pm (0.6667, 0.3333, 0.5773)
Ge (0.0000, 0.0000, 0.0000)
Ge (0.3333, 0.6667, 0.6667)
Ge (0.6667, 0.3333, 0.3333)
H (0.0000, 0.0000, 0.5000)
H (0.3333, 0.6667, 0.1667)
H (0.6667, 0.3333, 0.8333)

=====

# 2
The following is a DFT calculation (GGA-PBE) of a relaxed Pm2GeH crystal.

Computed properties:
mass density = 6.87 g/cm³
electronic total energy = -4.66 eV/atom

a = 4.9564 Å, b = 4.9564 Å, c = 3.5793 Å
α = 90.00°, β = 90.00°, γ = 90.00°
Fractional positions:
Pm (0.0000, 0.5000, 0.0000)
Pm (0.5000, 0.0000, 0.0000)
Ge (0.0000, 0.0000, 0.5000)
H (0.5000, 0.5000, 0.5000)

=====

# 3
The following is a DFT calculation (GGA-PBE) of a relaxed Pm2GeH crystal.

Computed properties:
mass density = 6.76 g/cm³
electronic total energy = -5.04 eV/atom

a = 6.2321 Å, b = 7.1818 Å, c = 8.5326 Å
α = 90.00°, β = 110.72°, γ = 90.00°
Fractional positions:
Pm (0.0008, 0.0057, 0.2280)
Pm (0.0008, 0.4943, 0.7280)
Pm (0.4160, 0.2118, 0.6071)
Pm (0.4160, 0.2882, 0.1071)
Pm (0.5840, 0.7118, 0.8929)
Pm (0.5840, 0.7882, 0.3929)
Pm (0.9992, 0.5057, 0.2720)
Pm (0.9992, 0.9943, 0.7720)
Ge (0.2067, 0.7138, 0.0516)
Ge (0.2067, 0.7862, 0.5516)
Ge (0.7933, 0.2138, 0.4484)
Ge (0.7933, 0.2862, 0.9484)
H (0.2536, 0.2413, 0.8162)
H (0.2536, 0.2587, 0.3162)
H (0.7464, 0.7413, 0.6838)
H (0.7464, 0.7587, 0.1838)

=====

# 4
The following is a DFT calculation (GGA-PBE) of a relaxed Pm12Ge5H2 crystal.

Computed properties:
mass density = 6.47 g/cm³
electronic total energy = -5.00 eV/atom

a = 9.0565 Å, b = 9.0565 Å, c = 9.0788 Å
α = 103.67°, β = 103.67°, γ = 48.74°
Fractional positions:
Pm (0.0053, 0.0053, 0.2319)
Pm (0.0924, 0.5873, 0.9107)
Pm (0.1035, 0.6058, 0.4322)
Pm (0.3942, 0.8965, 0.5678)
Pm (0.4127, 0.9076, 0.0893)
Pm (0.4931, 0.4931, 0.1831)
Pm (0.5069, 0.5069, 0.8169)
Pm (0.5873, 0.0924, 0.9107)
Pm (0.6058, 0.1035, 0.4322)
Pm (0.8965, 0.3942, 0.5678)
Pm (0.9076, 0.4127, 0.0893)
Pm (0.9947, 0.9947, 0.7681)
Ge (0.1835, 0.1835, 0.8440)
Ge (0.1991, 0.1991, 0.3525)
Ge (0.5000, 0.5000, 0.5000)
Ge (0.8009, 0.8009, 0.6475)
Ge (0.8165, 0.8165, 0.1560)
H (0.2502, 0.7498, 0.0000)
H (0.7498, 0.2502, 0.0000)

=====

# 5
The following is a DFT calculation (GGA-PBE) of a relaxed Pm6Ge3H2 crystal.

Computed properties:
mass density = 6.88 g/cm³
electronic total energy = -5.04 eV/atom

a = 12.5803 Å, b = 12.5803 Å, c = 12.5803 Å
α = 158.67°, β = 158.67°, γ = 30.34°
Fractional positions:
Pm (0.0805, 0.5805, 0.5000)
Pm (0.2026, 0.2026, 0.0000)
Pm (0.4195, 0.9195, 0.5000)
Pm (0.5805, 0.0805, 0.5000)
Pm (0.7974, 0.7974, 0.0000)
Pm (0.9195, 0.4195, 0.5000)
Ge (0.3276, 0.3276, 0.0000)
Ge (0.5000, 0.5000, 0.0000)
Ge (0.6724, 0.6724, 0.0000)
H (0.1017, 0.1017, 0.0000)
H (0.8983, 0.8983, 0.0000)

=====

# 6
The following is a DFT calculation (GGA-PBE) of a relaxed Pm5Ge3H crystal.

Computed properties:
mass density = 7.19 g/cm³
electronic total energy = -5.30 eV/atom

a = 8.8068 Å, b = 8.8068 Å, c = 6.4910 Å
α = 90.00°, β = 90.00°, γ = 120.00°
Fractional positions:
Pm (0.0000, 0.2495, 0.2500)
Pm (0.0000, 0.7505, 0.7500)
Pm (0.2495, 0.0000, 0.2500)
Pm (0.2495, 0.2495, 0.7500)
Pm (0.3333, 0.6667, 0.0000)
Pm (0.3333, 0.6667, 0.5000)
Pm (0.6667, 0.3333, 0.0000)
Pm (0.6667, 0.3333, 0.5000)
Pm (0.7505, 0.0000, 0.7500)
Pm (0.7505, 0.7505, 0.2500)
Ge (0.0000, 0.3880, 0.7500)
Ge (0.0000, 0.6120, 0.2500)
Ge (0.3880, 0.0000, 0.7500)
Ge (0.3880, 0.3880, 0.2500)
Ge (0.6120, 0.0000, 0.2500)
Ge (0.6120, 0.6120, 0.7500)
H (0.0000, 0.0000, 0.0000)
H (0.0000, 0.0000, 0.5000)